Entry 1:
# AcTmZnAu

AcTmZnAu after structural relaxation (PBE, the Alexandria database).

The calculation puts the calculated formation energy at -0.49 eV/atom. The value obtained for the volume is 26.26 Å³/atom. The magnetization comes out at 0.00 Bohr magnetons per cell.

It has space group F-43m (No. 216), with a = 7.489 Å, b = 7.489 Å, c = 7.489 Å, α = 90.00°, β = 90.00° and γ = 90.00°. The inequivalent atoms are Ac at (0.000, 0.000, 0.000), Tm at (0.000, 0.000, 0.500), Zn at (0.250, 0.250, 0.750) and Au at (0.250, 0.250, 0.250).

Entry 2:
# ScBe2Au2

ScBe2Au2 after structural relaxation (PBE, the Alexandria database).

The calculation puts the calculated formation energy at -0.17 eV/atom. The value obtained for the volume is 15.10 Å³/atom. The energy above the most stable polymorph in this dataset is 0.1943 eV/atom. The magnetization comes out at 0.00 Bohr magnetons per cell.

It has space group P4/mbm (No. 127), with a = 7.325 Å, b = 7.325 Å, c = 2.813 Å, α = 90.00°, β = 90.00° and γ = 90.00°. The inequivalent atoms are Sc at (0.000, 0.000, 0.000), Be at (0.156, 0.344, 0.500) and Au at (0.141, 0.641, 0.000).